(1)
Entry from Alexandria via LeMat-Bulk: In2AgSn after structural relaxation (PBE).

Summary:
**Formation energy**: 0.27 eV/f.u.
**Space group**: R3m, No. 160
**Energy relative to the lowest polymorph listed for this composition**: 0.028 eV/atom

```
In2AgSn
1.0
4.6118 0.0000 0.0000
2.3059 3.9940 0.0000
2.3059 1.3313 5.7481
In Sn Ag
2 1 1
Direct
0.0705 0.0705 0.7886
0.2669 0.2669 0.1994
0.4949 0.4949 0.5152
0.6678 0.6678 0.9967
```



(2)
Entry from Alexandria via LeMat-Bulk: Tb4DyS5 after structural relaxation (PBE).

Summary:
**Formation energy from raw total energies**: -20.0 eV per formula unit
**Space group**: Immm, No. 71

```
Tb4DyS5
1.0
3.8549 0.0000 -0.7437
-0.2855 5.3309 -1.4798
0.0034 0.0031 10.3801
S Tb Dy
5 4 1
Direct
0.4007 0.9007 0.8015
0.7999 0.2999 0.5997
0.0000 0.5000 0.0000
0.2001 0.7001 0.4003
0.5993 0.0993 0.1985
0.1998 0.1998 0.3995
0.8002 0.8002 0.6005
0.3999 0.3999 0.7999
0.6001 0.6001 0.2001
0.0000 0.0000 0.0000
```



(3)
Entry from Alexandria via LeMat-Bulk: Pm8Pr3Sc2 after structural relaxation (PBE).

Summary:
**Formation energy**: 2.98 eV/f.u.
**Space group**: C2/m, No. 12

```
Pm8Pr3Sc2
1.0
-5.3964 -1.7279 0.9796
2.6461 -5.4369 4.9861
-2.0423 9.2475 5.0080
Pm Pr Sc
8 3 2
Direct
0.4995 0.5934 0.7731
0.5005 0.8203 0.2269
0.0005 0.8642 0.7283
0.4995 0.1797 0.7731
0.9984 0.3192 0.6383
0.0016 0.6808 0.3617
0.5005 0.4066 0.2269
0.9995 0.1358 0.2717
0.0000 0.2913 0.0000
0.5000 0.0000 0.0000
0.0000 0.7087 0.0000
0.5018 0.7595 0.5191
0.4982 0.2405 0.4809
```



no.,magnetic moment (μB per formula unit),electronic total energy (eV/atom),N(E_F) (states/eV/atom)
1,0.000,-3.014,0.463
2,0.000,-6.379,0.443
3,0.002,-4.771,1.534